[1]
## BeAl (GGA-PBE)

Data for crystalline BeAl at its relaxed geometry.

Summary:
V: 152.10 Å³/cell

Unit cell a=8.7185 b=2.6162 c=7.2112 alpha=90.00 beta=112.38 gamma=90.00
Space group Cm (No. 8)
Symmetry-distinct sites (fractional):
Be1 0.0000 0.0000 0.0000 x2
Be2 0.0346 0.0000 0.4899 x2
Be3 0.3940 0.0000 0.1893 x2
Al1 0.1926 0.5000 0.8701 x2
Al2 0.1974 0.5000 0.3048 x2
Al3 0.3632 0.0000 0.6616 x2


[2]
## BeAl (GGA-PBE)

Data for crystalline BeAl at its relaxed geometry.

Summary:
V: 50.21 Å³/cell

Unit cell a=3.2752 b=3.5907 c=4.5667 alpha=90.00 beta=110.77 gamma=90.00
Space group P2_1/m (No. 11)
Symmetry-distinct sites (fractional):
Be1 0.0685 0.2500 0.1364 x2
Al1 0.3531 0.2500 0.7038 x2


Number 1: DFT total energy -42.000 eV per cell, calculated density 2.36 g cm⁻³. Number 2: DFT total energy -14.488 eV per cell, calculated density 2.38 g cm⁻³.